1.
## MgCoOs (GGA-PBE)

Data for crystalline MgCoOs at its relaxed geometry.

a b c (Å): 2.7255 2.7255 11.4183
angles (deg): 90.00 90.00 90.00
With the nearest neighbours (Å) after each atom.
Space group I4mm (No. 107)
Symmetry-distinct sites (fractional):
Mg  0.0000  0.0000  0.0000 (multiplicity 2)  4 Mg 2.73, 4 Co 2.78, 4 Os 2.90
Co  0.0000  0.0000  0.3245 (multiplicity 2)  4 Os 2.47, 4 Co 2.73
Os  0.0000  0.0000  0.6894 (multiplicity 2)  4 Co 2.47, 4 Os 2.73

Results
E = -19.55 eV per formula unit

2.
## MgCoOs2 (GGA-PBE)

Data for crystalline MgCoOs2 at its relaxed geometry.

a b c (Å): 4.2021 2.7204 9.8244
angles (deg): 90.00 90.00 90.00
With the nearest neighbours (Å) after each atom.
Space group Amm2 (No. 38)
Symmetry-distinct sites (fractional):
Mg  0.0000  0.0000  0.0000 (multiplicity 2)  3 Os 2.58-2.70, 4 Co 2.69, 2 Mg 2.72
Co  0.5000  0.0000  0.4010 (multiplicity 2)  5 Os 2.50-2.69, 4 Mg 2.69, 2 Co 2.72
Os  0.0000  0.0000  0.2624 (multiplicity 2)  2 Co 2.50, 3 Mg 2.58-2.70, 6 Os 2.68-2.72
Os  0.5000  0.0000  0.6648 (multiplicity 2)  3 Co 2.59-2.69, 6 Os 2.68-2.72

Results
E = -30.32 eV per formula unit

3.
## MgCoOs2 (GGA-PBE)

Data for crystalline MgCoOs2 at its relaxed geometry.

a b c (Å): 2.7501 2.7501 7.4736
angles (deg): 90.00 90.00 90.00
With the nearest neighbours (Å) after each atom.
Space group P4mm (No. 99)
Symmetry-distinct sites (fractional):
Mg  0.0000  0.0000  0.0000 (multiplicity 1)  4 Co 2.72, 4 Mg 2.75, 4 Os 2.86
Co  0.5000  0.5000  0.7461 (multiplicity 1)  4 Os 2.56, 4 Mg 2.72, 4 Co 2.75
Os  0.0000  0.0000  0.5241 (multiplicity 1)  4 Co 2.56, 8 Os 2.66-2.75
Os  0.5000  0.5000  0.2814 (multiplicity 1)  8 Os 2.66-2.75, 4 Mg 2.86

Results
E = -30.48 eV per formula unit

4.
## MgCoOs2 (GGA-PBE)

Data for crystalline MgCoOs2 at its relaxed geometry.

a b c (Å): 4.3486 4.3486 2.8908
angles (deg): 90.00 90.00 90.00
With the nearest neighbours (Å) after each atom.
Space group P4/mmm (No. 123)
Symmetry-distinct sites (fractional):
Mg  0.0000  0.0000  0.0000 (multiplicity 1)  8 Os 2.61, 2 Mg 2.89
Co  0.5000  0.5000  0.0000 (multiplicity 1)  8 Os 2.61, 2 Co 2.89
Os  0.0000  0.5000  0.5000 (multiplicity 2)  4 Co 2.61, 4 Mg 2.61, 2 Os 2.89

Results
E = -29.26 eV per formula unit

5.
## MgCo2Os (GGA-PBE)

Data for crystalline MgCo2Os at its relaxed geometry.

a b c (Å): 4.2310 4.2310 2.9150
angles (deg): 90.00 90.00 90.00
With the nearest neighbours (Å) after each atom.
Space group P4/mmm (No. 123)
Symmetry-distinct sites (fractional):
Mg  0.0000  0.0000  0.0000 (multiplicity 1)  8 Co 2.57
Co  0.0000  0.5000  0.5000 (multiplicity 2)  4 Os 2.57, 4 Mg 2.57
Os  0.5000  0.5000  0.0000 (multiplicity 1)  8 Co 2.57

Results
E = -26.39 eV per formula unit

6.
## MgCo2Os (GGA-PBE)

Data for crystalline MgCo2Os at its relaxed geometry.

a b c (Å): 2.7353 4.3626 8.8229
angles (deg): 90.00 90.00 90.00
With the nearest neighbours (Å) after each atom.
Space group Imm2 (No. 44)
Symmetry-distinct sites (fractional):
Mg  0.0000  0.0000  0.0000 (multiplicity 2)  6 Co 2.58-2.68, 2 Mg 2.74, 2 Os 2.79
Co  0.0000  0.0000  0.5134 (multiplicity 2)  2 Co 2.41, 2 Os 2.50, 4 Mg 2.58
Co  0.0000  0.5000  0.2384 (multiplicity 2)  2 Co 2.41, 4 Os 2.60, 2 Mg 2.68
Os  0.0000  0.5000  0.7761 (multiplicity 2)  6 Co 2.50-2.60, 2 Os 2.74, 2 Mg 2.79

Results
E = -26.26 eV per formula unit

7.
## MgCoOs2 (GGA-PBE)

Data for crystalline MgCoOs2 at its relaxed geometry.

a b c (Å): 2.8432 4.5614 8.8967
angles (deg): 90.00 90.00 90.00
With the nearest neighbours (Å) after each atom.
Space group Cmm2 (No. 35)
Symmetry-distinct sites (fractional):
Mg  0.0000  0.0000  0.0000 (multiplicity 2)  2 Co 2.61, 6 Mg 2.69-2.84, 2 Os 2.75
Co  0.0000  0.5000  0.2467 (multiplicity 2)  2 Os 2.53, 2 Mg 2.61, 4 Co 2.69
Os  0.0000  0.0000  0.4814 (multiplicity 2)  2 Co 2.53, 6 Os 2.67-2.69
Os  0.0000  0.5000  0.7358 (multiplicity 2)  8 Os 2.67-2.84, 2 Mg 2.75

Results
E = -29.31 eV per formula unit

8.
## MgCo2Os (GGA-PBE)

Data for crystalline MgCo2Os at its relaxed geometry.

a b c (Å): 2.6558 4.0991 4.8860
angles (deg): 90.00 105.60 90.00
With the nearest neighbours (Å) after each atom.
Space group Pm (No. 6)
Symmetry-distinct sites (fractional):
Mg  0.0000  0.0000  0.0000 (multiplicity 1)  7 Co 2.45-2.62, 2 Mg 2.66
Co  0.2610  0.0000  0.5203 (multiplicity 1)  3 Mg 2.45-2.62, 4 Co 2.46-2.66, 4 Os 2.58
Co  0.4051  0.5000  0.8109 (multiplicity 1)  4 Co 2.46-2.66, 3 Os 2.52-2.56, 4 Mg 2.60
Os  0.6742  0.5000  0.3460 (multiplicity 1)  7 Co 2.52-2.58, 2 Os 2.66

Results
E = -26.39 eV per formula unit

Number 1: DOS at the Fermi energy 3.47 states/eV/f.u.. Number 2: DOS at the Fermi energy 4.11 states/eV/f.u.. Number 3: DOS at the Fermi energy 4.50 states/eV/f.u.. Number 4: DOS at the Fermi energy 5.13 states/eV/f.u.. Number 5: DOS at the Fermi energy 2.60 states/eV/f.u.. Number 6: DOS at the Fermi energy 4.08 states/eV/f.u.. Number 7: DOS at the Fermi energy 4.90 states/eV/f.u.. Number 8: DOS at the Fermi energy 5.19 states/eV/f.u..